Here is an optimized crystal structure of RbSiGe from Alexandria via LeMat-Bulk. Energies are from PBE.

Summary:
E above lowest polymorph = 7 meV per atom
SG = No. 2
E_tot = -3.671 eV/atom
Formation energy without anion corrections = -1 meV/atom

Geometry as POSCAR:
```
RbSiGe
1.0
4.4801 0.0000 0.0000
2.2347 5.2623 0.0000
2.2381 0.7720 7.1948
Rb Si Ge
2 2 2
direct
0.0646 0.2138 0.1566
0.9354 0.7862 0.8434
0.3676 0.2094 0.5561
0.6324 0.7906 0.4439
0.2686 0.6170 0.3443
0.7314 0.3830 0.6557
```

***

Here is an optimized crystal structure of RbSi2Ge2 from Alexandria via LeMat-Bulk. Energies are from PBE.

Summary:
E above lowest polymorph = 0 meV per atom
SG = No. 139
E_tot = -4.144 eV/atom
Formation energy without anion corrections = 65 meV/atom

Geometry as POSCAR:
```
RbSi2Ge2
1.0
-2.0603 2.0603 7.6746
2.0603 -2.0603 7.6746
2.0603 2.0603 -7.6746
Rb Si Ge
1 2 2
direct
0.0000 0.0000 0.0000
0.2500 0.7500 0.5000
0.7500 0.2500 0.5000
0.3496 0.3496 0.0000
0.6504 0.6504 0.0000
```

***

Here is an optimized crystal structure of RbSiGe3 from Alexandria via LeMat-Bulk. Energies are from PBE.

Summary:
E above lowest polymorph = 0 meV per atom
SG = No. 14
E_tot = -3.968 eV/atom
Formation energy without anion corrections = 80 meV/atom

Geometry as POSCAR:
```
RbSiGe3
1.0
8.8166 0.0000 0.0000
0.0000 6.4044 0.0000
-3.6249 0.0000 10.1787
Rb Si Ge
4 4 12
direct
0.1196 0.2493 0.1484
0.1196 0.2507 0.6484
0.8804 0.7493 0.3516
0.8804 0.7507 0.8516
0.5005 0.0010 0.1679
0.5005 0.4990 0.6679
0.4995 0.5010 0.3321
0.4995 0.9990 0.8321
0.2893 0.6055 0.9413
0.2893 0.8945 0.4413
0.3004 0.7504 0.1943
0.3004 0.7496 0.6943
0.4281 0.2393 0.9802
0.4281 0.2607 0.4802
0.5719 0.7393 0.5198
0.5719 0.7607 0.0198
0.6996 0.2504 0.3057
0.6996 0.2496 0.8057
0.7107 0.1055 0.5587
0.7107 0.3945 0.0587
```

***

Here is an optimized crystal structure of RbSiGe from Alexandria via LeMat-Bulk. Energies are from PBE.

Summary:
E above lowest polymorph = 17 meV per atom
SG = No. 156
E_tot = -3.660 eV/atom
Formation energy without anion corrections = 9 meV/atom

Geometry as POSCAR:
```
RbSiGe
1.0
4.0613 0.0000 0.0000
-2.0306 3.5172 0.0000
0.0000 0.0000 6.0581
Rb Si Ge
1 1 1
direct
0.0000 0.0000 0.0000
0.6667 0.3333 0.5616
0.3333 0.6667 0.4428
```

***

> The highest E_tot belongs to which entry?

number 4